(1)
A plane-wave DFT calculation with PBE was carried out for Hg2W after structural relaxation.

For the density, the calculation gives 16.302 g/cm³.

The structure belongs to space group C2/m (No. 12); the cell edges are 12.0933, 2.9419 and 6.9546 Å and the angles 90.00°, 105.56° and 90.00°. The asymmetric unit holds Hg at (0.1247, 0.0000, 0.0284), Hg at (0.1971, 0.0000, 0.6474) and W at (0.0227, 0.5000, 0.3351).

(2)
A plane-wave DFT calculation with PBE was carried out for HgW3 after structural relaxation.

For the density, the calculation gives 18.311 g/cm³.

The structure belongs to space group R-3m (No. 166, hexagonal axes); the cell edges are 9.2416, 9.2416 and 2.7664 Å and the angles 90.00°, 90.00° and 120.00°. The asymmetric unit holds Hg at (0.0000, 0.0000, 0.0000) and W at (0.0000, 0.5000, 0.0000).

(3)
A plane-wave DFT calculation with PBE was carried out for HgW3 after structural relaxation.

For the density, the calculation gives 18.221 g/cm³.

The structure belongs to space group Immm (No. 71); the cell edges are 3.3109, 4.5450 and 9.1099 Å and the angles 90.00°, 90.00° and 90.00°. The asymmetric unit holds Hg at (0.0000, 0.0000, 0.0000), W at (0.0000, 0.0000, 0.5000) and W at (0.0000, 0.5000, 0.2340).

(4)
A plane-wave DFT calculation with PBE was carried out for Hg2W after structural relaxation.

For the density, the calculation gives 16.033 g/cm³.

The structure belongs to space group Cmcm (No. 63); the cell edges are 13.6419, 4.3877 and 4.0490 Å and the angles 90.00°, 90.00° and 90.00°. The asymmetric unit holds Hg at (0.1583, 0.2364, 0.2500) and W at (0.0000, 0.3144, 0.7500).

(5)
A plane-wave DFT calculation with PBE was carried out for Hg5W after structural relaxation.

For the density, the calculation gives 12.636 g/cm³.

The structure belongs to space group P6/mmm (No. 191); the cell edges are 5.5054, 5.5054 and 5.9413 Å and the angles 90.00°, 90.00° and 120.00°. The asymmetric unit holds Hg at (0.0000, 0.5000, 0.0000), Hg at (0.3333, 0.6667, 0.5000) and W at (0.0000, 0.0000, 0.5000).

(6)
A plane-wave DFT calculation with PBE was carried out for HgW2 after structural relaxation.

For the density, the calculation gives 18.104 g/cm³.

The structure belongs to space group P-62m (No. 189); the cell edges are 8.1172, 8.1172 and 2.7404 Å and the angles 90.00°, 90.00° and 120.00°. The asymmetric unit holds Hg at (0.0000, 0.0000, 0.0000), Hg at (0.3333, 0.6667, 0.5000), W at (0.0000, 0.3159, 0.5000) and W at (0.0000, 0.6494, 0.0000).

(7)
A plane-wave DFT calculation with PBE was carried out for HgW2 after structural relaxation.

For the density, the calculation gives 17.287 g/cm³.

The structure belongs to space group P-3m1 (No. 164); the cell edges are 2.8564, 2.8564 and 15.4508 Å and the angles 90.00°, 90.00° and 120.00°. The asymmetric unit holds Hg at (0.3333, 0.6667, 0.0988), W at (0.3333, 0.6667, 0.4224) and W at (0.3333, 0.6667, 0.7311).

(8)
A plane-wave DFT calculation with PBE was carried out for HgW3 after structural relaxation.

For the density, the calculation gives 18.468 g/cm³.

The structure belongs to space group I4/mmm (No. 139); the cell edges are 4.0845, 4.0845 and 8.1067 Å and the angles 90.00°, 90.00° and 90.00°. The asymmetric unit holds Hg at (0.0000, 0.0000, 0.0000), W at (0.0000, 0.0000, 0.5000) and W at (0.0000, 0.5000, 0.2500).

(9)
A plane-wave DFT calculation with PBE was carried out for HgW2 after structural relaxation.

For the density, the calculation gives 18.165 g/cm³.

The structure belongs to space group Immm (No. 71); the cell edges are 2.7477, 4.3894 and 8.6144 Å and the angles 90.00°, 90.00° and 90.00°. The asymmetric unit holds Hg at (0.0000, 0.0000, 0.0000) and W at (0.0000, 0.0000, 0.3331).

(10)
A plane-wave DFT calculation with PBE was carried out for Hg5W after structural relaxation.

For the density, the calculation gives 13.883 g/cm³.

The structure belongs to space group F-43m (No. 216); the cell edges are 8.2807, 8.2807 and 8.2807 Å and the angles 90.00°, 90.00° and 90.00°. The asymmetric unit holds Hg at (0.0000, 0.0000, 0.0000), Hg at (0.1247, 0.1247, 0.6247) and W at (0.2500, 0.2500, 0.2500).

(11)
A plane-wave DFT calculation with PBE was carried out for Hg5W after structural relaxation.

For the density, the calculation gives 14.893 g/cm³.

The structure belongs to space group P-62m (No. 189); the cell edges are 5.7178, 5.7178 and 4.6737 Å and the angles 90.00°, 90.00° and 120.00°. The asymmetric unit holds Hg at (0.0000, 0.6876, 0.0000), Hg at (0.3333, 0.6667, 0.5000) and W at (0.0000, 0.0000, 0.5000).

(12)
A plane-wave DFT calculation with PBE was carried out for HgW2 after structural relaxation.

For the density, the calculation gives 17.892 g/cm³.

The structure belongs to space group I4/mmm (No. 139); the cell edges are 2.7614, 2.7614 and 13.8338 Å and the angles 90.00°, 90.00° and 90.00°. The asymmetric unit holds Hg at (0.0000, 0.0000, 0.0000) and W at (0.0000, 0.0000, 0.3302).

(13)
A plane-wave DFT calculation with PBE was carried out for Hg2W after structural relaxation.

For the density, the calculation gives 16.455 g/cm³.

The structure belongs to space group Fd-3m (No. 227, origin choice 2); the cell edges are 7.7875, 7.7875 and 7.7875 Å and the angles 90.00°, 90.00° and 90.00°. The asymmetric unit holds Hg at (0.0000, 0.0000, 0.0000) and W at (0.1250, 0.1250, 0.6250).

(14)
A plane-wave DFT calculation with PBE was carried out for Hg5W after structural relaxation.

For the density, the calculation gives 14.863 g/cm³.

The structure belongs to space group R32 (No. 155, hexagonal axes); the cell edges are 5.6264, 5.6264 and 14.5089 Å and the angles 90.00°, 90.00° and 120.00°. The asymmetric unit holds Hg at (0.0000, 0.0000, 0.1460), Hg at (0.0000, 0.6055, 0.0000) and W at (0.0000, 0.0000, 0.5000).

(15)
A plane-wave DFT calculation with PBE was carried out for Hg2W after structural relaxation.

For the density, the calculation gives 16.397 g/cm³.

The structure belongs to space group I4_1/amd (No. 141, origin choice 2); the cell edges are 2.8826, 2.8826 and 28.5204 Å and the angles 90.00°, 90.00° and 90.00°. The asymmetric unit holds Hg at (0.0000, 0.2500, 0.2968) and W at (0.0000, 0.2500, 0.8750).

(16)
A plane-wave DFT calculation with PBE was carried out for HgW2 after structural relaxation.

For the density, the calculation gives 18.084 g/cm³.

The structure belongs to space group Amm2 (No. 38); the cell edges are 4.6650, 3.1281 and 14.3033 Å and the angles 90.00°, 90.00° and 90.00°. The asymmetric unit holds Hg at (0.0000, 0.0000, 0.0000), Hg at (0.0000, 0.0000, 0.3322), W at (0.0000, 0.0000, 0.6656), W at (0.5000, 0.0000, 0.2130), W at (0.5000, 0.0000, 0.5516) and W at (0.5000, 0.0000, 0.8742).

(17)
A plane-wave DFT calculation with PBE was carried out for HgW2 after structural relaxation.

For the density, the calculation gives 18.140 g/cm³.

The structure belongs to space group P-62m (No. 189); the cell edges are 5.0847, 5.0847 and 4.6466 Å and the angles 90.00°, 90.00° and 120.00°. The asymmetric unit holds Hg at (0.3333, 0.6667, 0.0000), W at (0.0000, 0.0000, 0.0000) and W at (0.0000, 0.3286, 0.5000).

(18)
A plane-wave DFT calculation with PBE was carried out for Hg2W after structural relaxation.

For the density, the calculation gives 15.062 g/cm³.

The structure belongs to space group Pnma (No. 62); the cell edges are 5.9222, 3.1228 and 13.9503 Å and the angles 90.00°, 90.00° and 90.00°. The asymmetric unit holds Hg at (0.0180, 0.2500, 0.2304), Hg at (0.0931, 0.2500, 0.5852) and W at (0.0921, 0.2500, 0.9432).

(19)
A plane-wave DFT calculation with PBE was carried out for Hg4W3 after structural relaxation.

For the density, the calculation gives 16.235 g/cm³.

The structure belongs to space group P6/mmm (No. 191); the cell edges are 5.4358, 5.4358 and 5.4115 Å and the angles 90.00°, 90.00° and 120.00°. The asymmetric unit holds Hg at (0.0000, 0.0000, 0.2484), Hg at (0.3333, 0.6667, 0.5000) and W at (0.0000, 0.5000, 0.0000).

(20)
A plane-wave DFT calculation with PBE was carried out for Hg2W after structural relaxation.

For the density, the calculation gives 15.436 g/cm³.

The structure belongs to space group C2/m (No. 12); the cell edges are 12.1630, 2.8153 and 8.3550 Å and the angles 90.00°, 118.37° and 90.00°. The asymmetric unit holds Hg at (0.0312, 0.0000, 0.2257), Hg at (0.1586, 0.5000, 0.5984) and W at (0.1847, 0.5000, 0.0617).

(21)
A plane-wave DFT calculation with PBE was carried out for Hg2W after structural relaxation.

For the density, the calculation gives 16.854 g/cm³.

The structure belongs to space group R32 (No. 155, hexagonal axes); the cell edges are 5.1562, 5.1562 and 15.0205 Å and the angles 90.00°, 90.00° and 120.00°. The asymmetric unit holds Hg at (0.0000, 0.0000, 0.0000), Hg at (0.0000, 0.6745, 0.5000) and W at (0.0000, 0.0000, 0.3299).

(22)
A plane-wave DFT calculation with PBE was carried out for HgW2 after structural relaxation.

For the density, the calculation gives 17.055 g/cm³.

The structure belongs to space group I4/mcm (No. 140); the cell edges are 6.4692, 6.4692 and 5.2882 Å and the angles 90.00°, 90.00° and 90.00°. The asymmetric unit holds Hg at (0.0000, 0.0000, 0.2500) and W at (0.1305, 0.3695, 0.0000).

(23)
A plane-wave DFT calculation with PBE was carried out for HgW4 after structural relaxation.

For the density, the calculation gives 18.275 g/cm³.

The structure belongs to space group I4/m (No. 87); the cell edges are 6.2377, 6.2377 and 4.3713 Å and the angles 90.00°, 90.00° and 90.00°. The asymmetric unit holds Hg at (0.0000, 0.0000, 0.0000) and W at (0.0813, 0.3015, 0.5000).

(24)
A plane-wave DFT calculation with PBE was carried out for Hg3W4 after structural relaxation.

For the density, the calculation gives 16.969 g/cm³.

The structure belongs to space group I4/mmm (No. 139); the cell edges are 3.3346, 3.3346 and 23.5338 Å and the angles 90.00°, 90.00° and 90.00°. The asymmetric unit holds Hg at (0.0000, 0.0000, 0.0000), Hg at (0.0000, 0.0000, 0.2916), W at (0.0000, 0.0000, 0.1270) and W at (0.0000, 0.0000, 0.4237).

(25)
A plane-wave DFT calculation with PBE was carried out for HgW2 after structural relaxation.

For the density, the calculation gives 17.632 g/cm³.

The structure belongs to space group Cmcm (No. 63); the cell edges are 2.7237, 16.2124 and 4.8479 Å and the angles 90.00°, 90.00° and 90.00°. The asymmetric unit holds Hg at (0.0000, 0.2153, 0.2500), W at (0.0000, 0.1053, 0.7500) and W at (0.0000, 0.4512, 0.7500).

(26)
A plane-wave DFT calculation with PBE was carried out for Hg2W after structural relaxation.

For the density, the calculation gives 16.665 g/cm³.

The structure belongs to space group P-62m (No. 189); the cell edges are 5.2284, 5.2284 and 4.9248 Å and the angles 90.00°, 90.00° and 120.00°. The asymmetric unit holds Hg at (0.0000, 0.0000, 0.0000), Hg at (0.0000, 0.6305, 0.5000) and W at (0.3333, 0.6667, 0.0000).

(27)
A plane-wave DFT calculation with PBE was carried out for HgW4 after structural relaxation.

For the density, the calculation gives 13.939 g/cm³.

The structure belongs to space group Pm-3m (No. 221); the cell edges are 4.8130, 4.8130 and 4.8130 Å and the angles 90.00°, 90.00° and 90.00°. The asymmetric unit holds Hg at (0.0000, 0.0000, 0.0000), W at (0.0000, 0.0000, 0.5000) and W at (0.5000, 0.5000, 0.5000).

no.,energy above the most stable polymorph in this dataset (meV/atom),uncorrected energy (eV/atom)
1,385,-3.75
2,193,-9.17
3,194,-9.16
4,373,-3.76
5,558,-1.40
6,125,-8.00
7,5,-8.12
8,254,-9.11
9,64,-8.06
10,552,-1.41
11,273,-1.69
12,155,-7.97
13,936,-3.20
14,202,-1.76
15,357,-3.78
16,157,-7.97
17,178,-7.95
18,256,-3.88
19,113,-4.88
20,300,-3.83
21,344,-3.79
22,461,-7.67
23,0,-9.83
24,0,-6.89
25,53,-8.07
26,377,-3.76
27,2808,-7.02